1.
The following is a DFT calculation (GGA-PBE) of SrMn2Zn after structural relaxation.

Cell and atoms, written as extended XYZ:
```
4
Lattice="0.000 3.475 3.475 3.475 0.000 3.475 3.475 3.475 0.000" Properties=species:S:1:pos:R:3 pbc="T T T"
Sr 0.000 0.000 0.000
Mn 1.738 1.738 1.738
Mn 5.213 5.213 5.213
Zn 3.475 3.475 3.475
```

Summary:
Mass density, g cm⁻³: 5.20
E, eV per cell: -18.8
D(E_F), states/eV per atom: 1.565
Energy of formation from the pure elements, kJ/mol of atoms: 60.1

2.
The following is a DFT calculation (GGA-PBE) of SrMn2Zn after structural relaxation.

Cell and atoms, written as extended XYZ:
```
4
Lattice="-1.632 2.605 4.964 1.632 -2.605 4.964 1.632 2.605 -4.964" Properties=species:S:1:pos:R:3 pbc="T T T"
Sr 0.000 0.000 0.000
Mn 1.632 0.000 2.867
Mn 0.000 2.605 2.098
Zn 0.000 0.000 4.964
```

Summary:
Mass density, g cm⁻³: 5.17
E, eV per cell: -19.2
D(E_F), states/eV per atom: 1.069
Energy of formation from the pure elements, kJ/mol of atoms: 50.2